[1]
Entry from Alexandria via LeMat-Bulk: a geometry-optimized Na3Li structure (GGA-PBE).

Cell: 5.069 5.069 5.069 Å, 90.00 90.00 90.00°
Element x y z (fractional)
Na: 0.000 0.000 0.500
Na: 0.000 0.500 0.000
Na: 0.500 0.000 0.000
Li: 0.500 0.500 0.500

Results
total energy	-1.43	eV/atom
energy above the most stable polymorph in this dataset	0	meV per atom
space-group type	Pm-3m, No. 221
DOS at the Fermi energy	0.56	states/eV per atom
crystal system	cubic


[2]
Entry from Alexandria via LeMat-Bulk: a geometry-optimized TlWAu4 structure (GGA-PBE).

Cell: 5.554 5.554 5.554 Å, 60.00 60.00 60.00°
Element x y z (fractional)
Tl: 0.000 0.000 0.000
W: 0.750 0.750 0.750
Au: 0.375 0.375 0.375
Au: 0.375 0.375 0.874
Au: 0.375 0.874 0.375
Au: 0.874 0.375 0.375

Results
total energy	-4.02	eV/atom
space-group type	F-43m, No. 216
DOS at the Fermi energy	0.65	states/eV per atom
crystal system	cubic


[3]
Entry from Alexandria via LeMat-Bulk: a geometry-optimized K2BeTl2 structure (GGA-PBE).

Cell: 10.697 10.697 10.697 Å, 156.04 156.04 34.15°
Element x y z (fractional)
K: 0.094 0.094 0.000
K: 0.906 0.906 0.000
Be: 0.500 0.500 0.000
Tl: 0.250 0.750 0.500
Tl: 0.750 0.250 0.500

Results
total energy	-1.63	eV/atom
energy above the most stable polymorph in this dataset	216	meV per atom
space-group type	I4/mmm, No. 139
DOS at the Fermi energy	0.85	states/eV per atom
crystal system	tetragonal


[4]
Entry from Alexandria via LeMat-Bulk: a geometry-optimized Nd3Sn2Hg4 structure (GGA-PBE).

Cell: 6.403 6.403 9.426 Å, 109.81 109.81 43.36°
Element x y z (fractional)
Nd: 0.000 0.000 0.000
Nd: 0.325 0.325 0.355
Nd: 0.675 0.675 0.645
Sn: 0.384 0.384 0.724
Sn: 0.616 0.616 0.276
Hg: 0.010 0.010 0.351
Hg: 0.238 0.238 0.912
Hg: 0.762 0.762 0.088
Hg: 0.990 0.990 0.649

Results
total energy	-3.14	eV/atom
space-group type	C2/m, No. 12
DOS at the Fermi energy	0.34	states/eV per atom
crystal system	monoclinic


[5]
Entry from Alexandria via LeMat-Bulk: a geometry-optimized PmHoErTl structure (GGA-PBE).

Cell: 5.476 5.476 5.476 Å, 60.00 60.00 60.00°
Element x y z (fractional)
Pm: 0.000 0.000 0.000
Ho: 0.750 0.750 0.750
Er: 0.250 0.250 0.250
Tl: 0.500 0.500 0.500

Results
total energy	-4.06	eV/atom
energy above the most stable polymorph in this dataset	184	meV per atom
space-group type	F-43m, No. 216
DOS at the Fermi energy	1.39	states/eV per atom
crystal system	cubic


[6]
Entry from Alexandria via LeMat-Bulk: a geometry-optimized Pm7Er2Th2 structure (GGA-PBE).

Cell: 8.162 8.162 6.049 Å, 105.78 105.78 89.80°
Element x y z (fractional)
Pm: 0.000 0.000 0.000
Pm: 0.044 0.591 0.824
Pm: 0.409 0.956 0.176
Pm: 0.429 0.429 0.202
Pm: 0.571 0.571 0.798
Pm: 0.591 0.044 0.824
Pm: 0.956 0.409 0.176
Er: 0.226 0.226 0.599
Er: 0.774 0.774 0.401
Th: 0.213 0.787 0.500
Th: 0.787 0.213 0.500

Results
total energy	-5.02	eV/atom
energy above the most stable polymorph in this dataset	11	meV per atom
space-group type	C2/m, No. 12
DOS at the Fermi energy	1.36	states/eV per atom
crystal system	monoclinic


[7]
Entry from Alexandria via LeMat-Bulk: a geometry-optimized Rb2AlBr5 structure (GGA-PBE).

Cell: 7.462 7.462 7.462 Å, 116.11 116.11 96.87°
Element x y z (fractional)
Rb: 0.000 0.500 0.500
Rb: 0.500 0.000 0.500
Al: 0.205 0.205 0.000
Br: 0.040 0.040 0.565
Br: 0.040 0.475 0.000
Br: 0.475 0.040 0.000
Br: 0.475 0.475 0.435
Br: 0.968 0.968 0.000

Results
total energy	-3.20	eV/atom
energy above the most stable polymorph in this dataset	0	meV per atom
formation energy from raw total energies	-1.446	eV/atom
space-group type	I4mm, No. 107
DOS at the Fermi energy	0.00	states/eV per atom
crystal system	tetragonal


[8]
Entry from Alexandria via LeMat-Bulk: a geometry-optimized Ac3InGa2Pd6 structure (GGA-PBE).

Cell: 5.984 5.984 8.975 Å, 90.00 90.00 120.00°
Element x y z (fractional)
Ac: 0.000 0.000 0.000
Ac: 0.333 0.667 0.634
Ac: 0.667 0.333 0.366
In: 0.000 0.000 0.500
Ga: 0.333 0.667 0.033
Ga: 0.667 0.333 0.967
Pd: 0.177 0.354 0.274
Pd: 0.177 0.823 0.274
Pd: 0.354 0.177 0.726
Pd: 0.646 0.823 0.274
Pd: 0.823 0.177 0.726
Pd: 0.823 0.646 0.726

Results
total energy	-5.03	eV/atom
space-group type	P-3m1, No. 164
DOS at the Fermi energy	0.41	states/eV per atom
crystal system	trigonal


[9]
Entry from Alexandria via LeMat-Bulk: a geometry-optimized LiYSc2Zn4 structure (GGA-PBE).

Cell: 8.487 8.487 8.487 Å, 32.18 32.18 32.18°
Element x y z (fractional)
Li: 0.000 0.000 0.000
Y: 0.500 0.500 0.500
Sc: 0.257 0.257 0.257
Sc: 0.743 0.743 0.743
Zn: 0.113 0.113 0.113
Zn: 0.374 0.374 0.374
Zn: 0.626 0.626 0.626
Zn: 0.887 0.887 0.887

Results
total energy	-3.54	eV/atom
space-group type	R-3m, No. 166
DOS at the Fermi energy	0.75	states/eV per atom
crystal system	trigonal


[10]
Entry from Alexandria via LeMat-Bulk: a geometry-optimized Al5CrCo6 structure (GGA-PBE).

Cell: 4.050 5.672 6.399 Å, 90.00 108.30 90.00°
Element x y z (fractional)
Al: 0.000 0.000 0.000
Al: 0.334 0.000 0.668
Al: 0.335 0.500 0.670
Al: 0.665 0.500 0.330
Al: 0.666 0.000 0.332
Cr: 0.000 0.500 0.000
Co: 0.166 0.251 0.333
Co: 0.166 0.749 0.333
Co: 0.500 0.253 0.000
Co: 0.500 0.747 0.000
Co: 0.834 0.251 0.667
Co: 0.834 0.749 0.667

Results
total energy	-6.38	eV/atom
space-group type	P2/m, No. 10
DOS at the Fermi energy	0.83	states/eV per atom
crystal system	monoclinic


[11]
Entry from Alexandria via LeMat-Bulk: a geometry-optimized MgAsPO2 structure (GGA-PBE).

Cell: 3.794 3.794 5.443 Å, 90.00 90.00 90.00°
Element x y z (fractional)
Mg: 0.000 0.000 0.000
As: 0.500 0.500 0.500
P: 0.000 0.000 0.500
O: 0.000 0.500 0.000
O: 0.500 0.000 0.000

Results
total energy	-4.45	eV/atom
energy above the most stable polymorph in this dataset	363	meV per atom
formation energy from raw total energies	-0.134	eV/atom
space-group type	P4/mmm, No. 123
DOS at the Fermi energy	0.52	states/eV per atom
crystal system	tetragonal


[12]
Entry from Alexandria via LeMat-Bulk: a geometry-optimized MoSeCl2 structure (GGA-PBE).

Cell: 5.029 5.029 7.321 Å, 109.32 109.32 36.21°
Element x y z (fractional)
Mo: 0.000 0.000 0.000
Se: 0.298 0.298 0.001
Cl: 0.480 0.480 0.727
Cl: 0.626 0.626 0.273

Results
total energy	-4.99	eV/atom
energy above the most stable polymorph in this dataset	75	meV per atom
formation energy from raw total energies	-0.490	eV/atom
space-group type	Cm, No. 8
DOS at the Fermi energy	0.30	states/eV per atom
crystal system	monoclinic


[13]
Entry from Alexandria via LeMat-Bulk: a geometry-optimized Be2Zn2As structure (GGA-PBE).

Cell: 6.950 6.950 2.797 Å, 90.00 90.00 90.00°
Element x y z (fractional)
Be: 0.140 0.360 0.000
Be: 0.360 0.860 0.000
Be: 0.640 0.140 0.000
Be: 0.860 0.640 0.000
Zn: 0.153 0.653 0.500
Zn: 0.347 0.153 0.500
Zn: 0.653 0.847 0.500
Zn: 0.847 0.347 0.500
As: 0.000 0.000 0.000
As: 0.500 0.500 0.000

Results
total energy	-2.57	eV/atom
energy above the most stable polymorph in this dataset	42	meV per atom
space-group type	P4/mbm, No. 127
DOS at the Fermi energy	0.35	states/eV per atom
crystal system	tetragonal